(1)
# Na2BeTcO6

An optimized crystal structure of Na2BeTcO6 (PBE, OQMD).

Computed properties:
Its total DFT energy (no corrections) is -60.77 eV per formula unit.

Cell and atoms, written as CIF:
```
data_Na2BeTcO6
_chemical_formula_sum 'Na8 Be4 Tc4 O24'
_cell_length_a 7.3471
_cell_length_b 7.3471
_cell_length_c 7.3471
_cell_angle_alpha 90.00
_cell_angle_beta 90.00
_cell_angle_gamma 90.00
_space_group_name_H-M_alt 'F m -3 m'
_space_group_IT_number 225
_space_group_name_Hall '-F 4 2 3'
loop_
_atom_site_label
_atom_site_type_symbol
_atom_site_fract_x
_atom_site_fract_y
_atom_site_fract_z
Na1 Na 0.2500 0.2500 0.2500
Be1 Be 0.0000 0.0000 0.0000
Tc1 Tc 0.0000 0.0000 0.5000
O1 O 0.0000 0.0000 0.2440
```



(2)
# NaBePd

An optimized crystal structure of NaBePd (PBE, OQMD).

Computed properties:
As for the energy above the most stable polymorph in this dataset: 0.597 eV per atom.

Cell and atoms, written as CIF:
```
data_NaBePd
_chemical_formula_sum 'Na4 Be4 Pd4'
_cell_length_a 5.9890
_cell_length_b 5.9890
_cell_length_c 5.9890
_cell_angle_alpha 90.00
_cell_angle_beta 90.00
_cell_angle_gamma 90.00
_space_group_name_H-M_alt 'F -4 3 m'
_space_group_IT_number 216
_space_group_name_Hall 'F -4 2 3'
loop_
_atom_site_label
_atom_site_type_symbol
_atom_site_fract_x
_atom_site_fract_y
_atom_site_fract_z
Na1 Na 0.0000 0.0000 0.0000
Be1 Be 0.2500 0.2500 0.7500
Pd1 Pd 0.2500 0.2500 0.2500
```



(3)
# NaBePd

An optimized crystal structure of NaBePd (PBE, OQMD).

Computed properties:
As for the energy above the most stable polymorph in this dataset: 0.000 eV per atom.

Cell and atoms, written as CIF:
```
data_NaBePd
_chemical_formula_sum 'Na4 Be4 Pd4'
_cell_length_a 5.8161
_cell_length_b 5.8161
_cell_length_c 5.8161
_cell_angle_alpha 90.00
_cell_angle_beta 90.00
_cell_angle_gamma 90.00
_space_group_name_H-M_alt 'F -4 3 m'
_space_group_IT_number 216
_space_group_name_Hall 'F -4 2 3'
loop_
_atom_site_label
_atom_site_type_symbol
_atom_site_fract_x
_atom_site_fract_y
_atom_site_fract_z
Na1 Na 0.0000 0.0000 0.0000
Be1 Be 0.2500 0.2500 0.2500
Pd1 Pd 0.0000 0.0000 0.5000
```



(4)
# NaBeSbPd

An optimized crystal structure of NaBeSbPd (PBE, OQMD).

Computed properties:
As for the energy above the most stable polymorph in this dataset: 0.011 eV per atom.

Cell and atoms, written as CIF:
```
data_NaBeSbPd
_chemical_formula_sum 'Na4 Be4 Sb4 Pd4'
_cell_length_a 6.5082
_cell_length_b 6.5082
_cell_length_c 6.5082
_cell_angle_alpha 90.00
_cell_angle_beta 90.00
_cell_angle_gamma 90.00
_space_group_name_H-M_alt 'F -4 3 m'
_space_group_IT_number 216
_space_group_name_Hall 'F -4 2 3'
loop_
_atom_site_label
_atom_site_type_symbol
_atom_site_fract_x
_atom_site_fract_y
_atom_site_fract_z
Na1 Na 0.0000 0.0000 0.0000
Be1 Be 0.2500 0.2500 0.7500
Sb1 Sb 0.0000 0.0000 0.5000
Pd1 Pd 0.2500 0.2500 0.2500
```



(5)
# NaBeSbPd

An optimized crystal structure of NaBeSbPd (PBE, OQMD).

Computed properties:
As for the energy above the most stable polymorph in this dataset: 0.053 eV per atom.

Cell and atoms, written as CIF:
```
data_NaBeSbPd
_chemical_formula_sum 'Na4 Be4 Sb4 Pd4'
_cell_length_a 6.4857
_cell_length_b 6.4857
_cell_length_c 6.4857
_cell_angle_alpha 90.00
_cell_angle_beta 90.00
_cell_angle_gamma 90.00
_space_group_name_H-M_alt 'F -4 3 m'
_space_group_IT_number 216
_space_group_name_Hall 'F -4 2 3'
loop_
_atom_site_label
_atom_site_type_symbol
_atom_site_fract_x
_atom_site_fract_y
_atom_site_fract_z
Na1 Na 0.0000 0.0000 0.0000
Be1 Be 0.0000 0.0000 0.5000
Sb1 Sb 0.2500 0.2500 0.7500
Pd1 Pd 0.2500 0.2500 0.2500
```



(6)
# NaBeSbPd

An optimized crystal structure of NaBeSbPd (PBE, OQMD).

Computed properties:
As for the energy above the most stable polymorph in this dataset: 0.000 eV per atom.

Cell and atoms, written as CIF:
```
data_NaBeSbPd
_chemical_formula_sum 'Na4 Be4 Sb4 Pd4'
_cell_length_a 6.4825
_cell_length_b 6.4825
_cell_length_c 6.4825
_cell_angle_alpha 90.00
_cell_angle_beta 90.00
_cell_angle_gamma 90.00
_space_group_name_H-M_alt 'F -4 3 m'
_space_group_IT_number 216
_space_group_name_Hall 'F -4 2 3'
loop_
_atom_site_label
_atom_site_type_symbol
_atom_site_fract_x
_atom_site_fract_y
_atom_site_fract_z
Na1 Na 0.0000 0.0000 0.0000
Be1 Be 0.2500 0.2500 0.2500
Sb1 Sb 0.2500 0.2500 0.7500
Pd1 Pd 0.0000 0.0000 0.5000
```



no.,density (kg/m³)
1,4170
2,4280
3,4673
4,6269
5,6335
6,6344